Record 1
This record from OQMD describes crystalline ZrO3 at its relaxed geometry. The functional is PBE.

Unit cell a=5.851 b=6.747 c=5.208 alpha=90.00 beta=90.00 gamma=90.00
Fractional coordinates of all 16 atoms:
1 Zr 0.000 0.000 0.000
2 Zr 0.000 0.500 0.000
3 Zr 0.500 0.000 0.500
4 Zr 0.500 0.500 0.500
5 O 0.035 0.250 0.203
6 O 0.230 0.142 0.721
7 O 0.230 0.358 0.721
8 O 0.270 0.642 0.221
9 O 0.270 0.858 0.221
10 O 0.465 0.750 0.703
11 O 0.535 0.250 0.297
12 O 0.730 0.142 0.779
13 O 0.730 0.358 0.779
14 O 0.770 0.642 0.279
15 O 0.770 0.858 0.279
16 O 0.965 0.750 0.797

Values from the calculation:
**E above lowest polymorph**: 122.1 meV per atom

---

Record 2
This record from OQMD describes crystalline Cs3K2ReO6 at its relaxed geometry. The functional is PBE.

Unit cell a=6.500 b=6.500 c=6.663 alpha=98.92 beta=98.92 gamma=120.01
Fractional coordinates of all 12 atoms:
1 Cs 0.000 0.000 0.000
2 Cs 0.328 0.672 0.000
3 Cs 0.672 0.328 0.000
4 K 0.166 0.834 0.500
5 K 0.834 0.166 0.500
6 Re 0.500 0.500 0.500
7 O 0.199 0.442 0.329
8 O 0.318 0.318 0.681
9 O 0.442 0.199 0.329
10 O 0.558 0.801 0.671
11 O 0.682 0.682 0.319
12 O 0.801 0.558 0.671

Values from the calculation:
**E above lowest polymorph**: 0.0 meV per atom

---

Record 3
This record from OQMD describes crystalline PrGeO3 at its relaxed geometry. The functional is PBE.

Unit cell a=5.931 b=5.931 c=5.931 alpha=57.61 beta=57.61 gamma=57.61
Fractional coordinates of all 10 atoms:
1 Pr 0.130 0.130 0.130
2 Pr 0.870 0.870 0.870
3 Ge 0.352 0.352 0.352
4 Ge 0.648 0.648 0.648
5 O 0.059 0.704 0.467
6 O 0.296 0.533 0.941
7 O 0.467 0.059 0.704
8 O 0.533 0.941 0.296
9 O 0.704 0.467 0.059
10 O 0.941 0.296 0.533

Values from the calculation:
**Final energy**: -69.21 eV for the cell shown

---

Record 4
This record from OQMD describes crystalline CsKZnSn at its relaxed geometry. The functional is PBE.

Unit cell a=6.851 b=11.605 c=8.243 alpha=90.00 beta=90.00 gamma=90.00
Fractional coordinates of all 16 atoms:
1 Cs 0.000 0.168 0.000
2 Cs 0.000 0.332 0.500
3 Cs 0.000 0.668 0.500
4 Cs 0.000 0.832 0.000
5 K 0.500 0.166 0.320
6 K 0.500 0.334 0.820
7 K 0.500 0.666 0.820
8 K 0.500 0.834 0.320
9 Zn 0.251 0.000 0.656
10 Zn 0.251 0.500 0.156
11 Zn 0.749 0.000 0.656
12 Zn 0.749 0.500 0.156
13 Sn 0.000 0.000 0.416
14 Sn 0.000 0.500 0.916
15 Sn 0.500 0.000 0.898
16 Sn 0.500 0.500 0.398

Values from the calculation:
**E above lowest polymorph**: 14.6 meV per atom

---

Record 5
This record from OQMD describes crystalline RbGdAsSe3 at its relaxed geometry. The functional is PBE.

Unit cell a=7.835 b=7.835 c=11.733 alpha=90.00 beta=90.00 gamma=147.38
Fractional coordinates of all 12 atoms:
1 Rb 0.226 0.774 0.750
2 Rb 0.774 0.226 0.250
3 Gd 0.500 0.500 0.000
4 Gd 0.500 0.500 0.500
5 As 0.082 0.918 0.250
6 As 0.918 0.082 0.750
7 Se 0.126 0.874 0.024
8 Se 0.126 0.874 0.476
9 Se 0.496 0.504 0.250
10 Se 0.504 0.496 0.750
11 Se 0.874 0.126 0.524
12 Se 0.874 0.126 0.976

Values from the calculation:
**Final energy**: -53.70 eV for the cell shown

---

Record 6
This record from OQMD describes crystalline Gd at its relaxed geometry. The functional is PBE.

Unit cell a=3.567 b=3.567 c=8.718 alpha=90.00 beta=90.00 gamma=120.00
Fractional coordinates of all 3 atoms:
1 Gd 0.000 0.342 0.167
2 Gd 0.342 0.000 0.833
3 Gd 0.658 0.658 0.500

Values from the calculation:
**ΔE_f**: 0.01 eV/f.u.
**E above lowest polymorph**: 12.3 meV per atom